Record 1
Entry from Alexandria via LeMat-Bulk: an optimized crystal structure of PPb2SN (PBE).

Cell: 5.640 5.640 3.423 Å, 90.00 90.00 90.00°
Positions (direct):
P1 0.000 0.000 0.000
Pb1 0.000 0.500 0.000
Pb2 0.500 0.000 0.000
S1 0.500 0.500 0.500
N1 0.000 0.000 0.500

## Properties
The value obtained for the density of states at the Fermi level is 2.1 states/eV/cell. The value obtained for the size of the total moment is 0.0 μB/cell. The value obtained for the formation energy without anion corrections is 342 meV/atom.

---

Record 2
Entry from Alexandria via LeMat-Bulk: an optimized crystal structure of Sm2P2PbN6 (PBE).

Cell: 5.889 6.068 6.569 Å, 102.90 113.09 108.91°
Positions (direct):
Sm1 0.119 0.207 0.326
Sm2 0.881 0.793 0.674
P1 0.207 0.750 0.263
P2 0.793 0.250 0.737
Pb1 0.500 0.500 0.000
N1 0.007 0.765 0.368
N2 0.205 0.879 0.078
N3 0.398 0.620 0.351
N4 0.602 0.380 0.649
N5 0.795 0.121 0.922
N6 0.993 0.235 0.632

## Properties
The value obtained for the size of the total moment is 0.0 μB/cell. The value obtained for the formation energy without anion corrections is -614 meV/atom.

---

Record 3
Entry from Alexandria via LeMat-Bulk: an optimized crystal structure of Sr2P2PbN6 (PBE).

Cell: 6.874 6.874 6.874 Å, 48.87 48.87 48.87°
Positions (direct):
Sr1 0.207 0.207 0.207
Sr2 0.793 0.793 0.793
P1 0.417 0.417 0.417
P2 0.583 0.583 0.583
Pb1 0.000 0.000 0.000
N1 0.257 0.740 0.740
N2 0.260 0.260 0.743
N3 0.260 0.743 0.260
N4 0.740 0.257 0.740
N5 0.740 0.740 0.257
N6 0.743 0.260 0.260

## Properties
The value obtained for the density of states at the Fermi level is 1.9 states/eV/cell. The value obtained for the size of the total moment is 0.0 μB/cell. The value obtained for the formation energy without anion corrections is -304 meV/atom.

---

Record 4
Entry from Alexandria via LeMat-Bulk: an optimized crystal structure of Sr6PPb2N (PBE).

Cell: 13.944 13.944 13.944 Å, 32.44 32.44 32.44°
Positions (direct):
Sr1 0.146 0.620 0.620
Sr2 0.195 0.195 0.725
Sr3 0.195 0.725 0.195
Sr4 0.275 0.805 0.805
Sr5 0.380 0.380 0.854
Sr6 0.380 0.854 0.380
Sr7 0.620 0.146 0.620
Sr8 0.620 0.620 0.146
Sr9 0.725 0.195 0.195
Sr10 0.805 0.275 0.805
Sr11 0.805 0.805 0.275
Sr12 0.854 0.380 0.380
P1 0.412 0.412 0.412
P2 0.588 0.588 0.588
Pb1 0.126 0.126 0.126
Pb2 0.294 0.294 0.294
Pb3 0.706 0.706 0.706
Pb4 0.874 0.874 0.874
N1 0.000 0.000 0.000
N2 0.500 0.500 0.500

## Properties
The value obtained for the density of states at the Fermi level is 19.7 states/eV/cell. The value obtained for the size of the total moment is 0.0 μB/cell. The value obtained for the formation energy without anion corrections is -616 meV/atom.

---

Record 5
Entry from Alexandria via LeMat-Bulk: an optimized crystal structure of TePPbN2 (PBE).

Cell: 4.311 4.311 6.522 Å, 90.00 90.00 90.00°
Positions (direct):
Te1 0.000 0.000 0.000
P1 0.500 0.500 0.000
Pb1 0.000 0.000 0.500
N1 0.000 0.500 0.500
N2 0.500 0.000 0.500

## Properties
The value obtained for the density of states at the Fermi level is 2.9 states/eV/cell. The value obtained for the size of the total moment is 3.6 μB/cell. The value obtained for the formation energy without anion corrections is 1882 meV/atom. The value obtained for the energy above the most stable polymorph in this dataset is 269 kJ/mol of formula units.

---

Record 6
Entry from Alexandria via LeMat-Bulk: an optimized crystal structure of TePPbN2 (PBE).

Cell: 4.121 4.121 5.473 Å, 90.00 90.00 90.00°
Positions (direct):
Te1 0.000 0.000 0.000
P1 0.000 0.000 0.500
Pb1 0.500 0.500 0.000
N1 0.000 0.500 0.500
N2 0.500 0.000 0.500

## Properties
The value obtained for the density of states at the Fermi level is 2.9 states/eV/cell. The value obtained for the size of the total moment is 1.7 μB/cell. The value obtained for the formation energy without anion corrections is 1324 meV/atom. The value obtained for the energy above the most stable polymorph in this dataset is 0 kJ/mol of formula units.

---

Record 7
Entry from Alexandria via LeMat-Bulk: an optimized crystal structure of Tm8P3Pb4N (PBE).

Cell: 8.961 8.961 8.961 Å, 50.01 50.01 50.01°
Positions (direct):
Tm1 0.232 0.232 0.232
Tm2 0.252 0.715 0.715
Tm3 0.285 0.285 0.748
Tm4 0.285 0.748 0.285
Tm5 0.715 0.252 0.715
Tm6 0.715 0.715 0.252
Tm7 0.748 0.285 0.285
Tm8 0.768 0.768 0.768
P1 0.000 0.000 0.500
P2 0.000 0.500 0.000
P3 0.500 0.000 0.000
Pb1 0.000 0.000 0.000
Pb2 0.000 0.500 0.500
Pb3 0.500 0.000 0.500
Pb4 0.500 0.500 0.000
N1 0.500 0.500 0.500

## Properties
The value obtained for the density of states at the Fermi level is 5.3 states/eV/cell. The value obtained for the size of the total moment is 0.0 μB/cell. The value obtained for the formation energy without anion corrections is -1015 meV/atom.

---

Record 8
Entry from Alexandria via LeMat-Bulk: an optimized crystal structure of Tm2P2PbN6 (PBE).

Cell: 5.922 5.955 6.226 Å, 99.59 112.56 112.85°
Positions (direct):
Tm1 0.129 0.202 0.327
Tm2 0.871 0.798 0.673
P1 0.205 0.758 0.267
P2 0.795 0.242 0.733
Pb1 0.500 0.500 0.000
N1 0.011 0.775 0.382
N2 0.198 0.889 0.066
N3 0.395 0.630 0.363
N4 0.605 0.370 0.637
N5 0.802 0.111 0.934
N6 0.989 0.225 0.618

## Properties
The value obtained for the size of the total moment is 0.0 μB/cell. The value obtained for the formation energy without anion corrections is -669 meV/atom.